No. 1
Below is Co2IrSe after structural relaxation, with properties calculated at the GGA-PBE level.

```
Co2IrSe
1.0
-1.4678 2.1798 4.2035
1.4678 -2.1798 4.2035
1.4678 2.1798 -4.2035
Co Ir Se
2 1 1
direct
0.2293 0.2293 0.0000 Co
0.7707 0.7707 0.0000 Co
0.5000 0.0000 0.5000 Ir
0.0000 0.5000 0.5000 Se
```

Summary:
The value obtained for the energy relative to the elements, uncorrected is 1.376 eV per formula unit. As for the crystal system: orthorhombic. For the total DFT energy (no corrections), the calculation gives -25.18 eV/cell.

=====

No. 2
Below is NaLuMg4 after structural relaxation, with properties calculated at the GGA-PBE level.

```
NaLuMg4
1.0
0.0000 4.2770 4.2770
4.2770 0.0000 4.2770
4.2770 4.2770 0.0000
Na Lu Mg
1 1 4
direct
0.0000 0.0000 0.0000 Na
0.2500 0.2500 0.2500 Lu
0.1270 0.6243 0.6243 Mg
0.6243 0.1270 0.6243 Mg
0.6243 0.6243 0.1270 Mg
0.6243 0.6243 0.6243 Mg
```

Summary:
As for the crystal system: cubic. For the total DFT energy (no corrections), the calculation gives -11.73 eV/cell. As for the energy relative to the elements: 0.081 eV/atom.

=====

No. 3
Below is Zn after structural relaxation, with properties calculated at the GGA-PBE level.

```
Zn
1.0
1.4046 0.8109 2.2192
-1.4046 0.8109 2.2192
0.0000 -1.6219 2.2192
Zn
1
direct
0.0000 0.0000 0.0000 Zn
```

Summary:
As for the crystal system: trigonal. For the total DFT energy (no corrections), the calculation gives -1.24 eV/cell. As for the energy relative to the elements: 0.033 eV/atom.

=====

No. 4
Below is TbPuCdPt after structural relaxation, with properties calculated at the GGA-PBE level.

```
TbPuCdPt
1.0
0.0000 3.6268 3.6268
3.6268 0.0000 3.6268
3.6268 3.6268 0.0000
Tb Pu Cd Pt
1 1 1 1
direct
0.0000 0.0000 0.0000 Tb
0.5000 0.5000 0.5000 Pu
0.2500 0.2500 0.2500 Cd
0.7500 0.7500 0.7500 Pt
```

Summary:
As for the crystal system: cubic. For the total DFT energy (no corrections), the calculation gives -27.83 eV/cell. As for the energy relative to the elements: -0.479 eV/atom.

=====

No. 5
Below is ZrP2OsO after structural relaxation, with properties calculated at the GGA-PBE level.

```
ZrP2OsO
1.0
5.0921 0.0000 0.0000
0.0000 5.0921 0.0000
0.0000 0.0000 3.8747
Zr P Os O
1 2 1 1
direct
0.0000 0.0000 0.0000 Zr
0.0000 0.5000 0.0000 P
0.5000 0.0000 0.0000 P
0.5000 0.5000 0.5000 Os
0.0000 0.0000 0.5000 O
```

Summary:
The value obtained for the energy relative to the elements, uncorrected is 2.376 eV per formula unit. As for the crystal system: tetragonal. For the total DFT energy (no corrections), the calculation gives -33.18 eV/cell.

=====

No. 6
Below is Ac2AgOs after structural relaxation, with properties calculated at the GGA-PBE level.

```
Ac2AgOs
1.0
3.7007 0.0000 0.0000
0.0000 3.7007 0.0000
0.0000 0.0000 8.2273
Ac Ag Os
2 1 1
direct
0.0000 0.0000 0.2218 Ac
0.0000 0.0000 0.7782 Ac
0.5000 0.5000 0.5000 Ag
0.5000 0.5000 0.0000 Os
```

Summary:
As for the crystal system: tetragonal. For the total DFT energy (no corrections), the calculation gives -22.29 eV/cell. As for the energy relative to the elements: 0.003 eV/atom.

=====

No. 7
Below is HgH2Pd9Pb3 after structural relaxation, with properties calculated at the GGA-PBE level.

```
HgH2Pd9Pb3
1.0
5.7150 0.0000 0.0000
-2.8575 4.9494 0.0000
0.0000 0.0000 9.2834
Hg H Pd Pb
1 2 9 3
direct
0.0000 0.0000 0.0000 Hg
0.3333 0.6667 0.6404 H
0.6667 0.3333 0.3596 H
0.0000 0.5000 0.5000 Pd
0.1674 0.3347 0.7568 Pd
0.1674 0.8326 0.7568 Pd
0.3347 0.1674 0.2432 Pd
0.5000 0.0000 0.5000 Pd
0.5000 0.5000 0.5000 Pd
0.6653 0.8326 0.7568 Pd
0.8326 0.1674 0.2432 Pd
0.8326 0.6653 0.2432 Pd
0.0000 0.0000 0.5000 Pb
0.3333 0.6667 0.1976 Pb
0.6667 0.3333 0.8024 Pb
```

Summary:
As for the crystal system: trigonal. For the total DFT energy (no corrections), the calculation gives -67.50 eV/cell.

=====

No. 8
Below is B2C3 after structural relaxation, with properties calculated at the GGA-PBE level.

```
B2C3
1.0
4.4662 -1.2849 0.0000
4.4662 1.2849 0.0000
-3.2082 0.0000 5.8245
B C
4 6
direct
0.0000 0.0000 0.0000 B
0.0127 0.0127 0.6392 B
0.2153 0.2153 0.5209 B
0.5782 0.5782 0.3139 B
0.2129 0.2129 0.7682 C
0.3833 0.3833 0.2793 C
0.3972 0.3972 0.5201 C
0.6021 0.6021 0.0852 C
0.7880 0.7880 0.1389 C
0.7972 0.7972 0.9052 C
```

Summary:
As for the crystal system: monoclinic. For the total DFT energy (no corrections), the calculation gives -79.02 eV/cell. As for the energy relative to the elements: 0.303 eV/atom.

=====

No. 9
Below is RhPbN2 after structural relaxation, with properties calculated at the GGA-PBE level.

```
RhPbN2
1.0
1.6108 0.9300 6.5389
-1.6108 0.9300 6.5389
0.0000 -1.8600 6.5389
Rh Pb N
1 1 2
direct
0.0000 0.0000 0.0000 Rh
0.5000 0.5000 0.5000 Pb
0.3808 0.3808 0.3808 N
0.6192 0.6192 0.6192 N
```

Summary:
The value obtained for the energy relative to the elements, uncorrected is 3.110 eV per formula unit. As for the crystal system: trigonal. For the total DFT energy (no corrections), the calculation gives -24.60 eV/cell.

=====

No. 10
Below is Sn2Bi2Br after structural relaxation, with properties calculated at the GGA-PBE level.

```
Sn2Bi2Br
1.0
9.1891 0.0000 0.0000
0.0000 9.1891 0.0000
0.0000 0.0000 3.6647
Sn Bi Br
4 4 2
direct
0.1577 0.3423 0.0000 Sn
0.3423 0.8423 0.0000 Sn
0.6577 0.1577 0.0000 Sn
0.8423 0.6577 0.0000 Sn
0.1365 0.6365 0.5000 Bi
0.3635 0.1365 0.5000 Bi
0.6365 0.8635 0.5000 Bi
0.8635 0.3635 0.5000 Bi
0.0000 0.0000 0.0000 Br
0.5000 0.5000 0.0000 Br
```

Summary:
The value obtained for the energy relative to the elements, uncorrected is -0.117 eV per formula unit. As for the crystal system: tetragonal. For the total DFT energy (no corrections), the calculation gives -35.12 eV/cell.

=====

No. 11
Below is PrDy5TmTh2 after structural relaxation, with properties calculated at the GGA-PBE level.

```
PrDy5TmTh2
1.0
-4.4497 4.4497 7.5914
4.4497 -4.4497 7.5914
4.4497 4.4497 -7.5914
Pr Dy Tm Th
2 10 2 4
direct
0.2500 0.2500 0.0000 Pr
0.7500 0.7500 0.0000 Pr
0.0000 0.0000 0.0000 Dy
0.0707 0.5707 0.9153 Dy
0.1554 0.0707 0.5000 Dy
0.3446 0.8446 0.9153 Dy
0.4293 0.3446 0.5000 Dy
0.5000 0.5000 0.0000 Dy
0.5707 0.6554 0.5000 Dy
0.6554 0.1554 0.0847 Dy
0.8446 0.9293 0.5000 Dy
0.9293 0.4293 0.0847 Dy
0.2500 0.7500 0.5000 Tm
0.7500 0.2500 0.5000 Tm
0.1185 0.3815 0.5000 Th
0.3815 0.8815 0.2629 Th
0.6185 0.1185 0.7371 Th
0.8815 0.6185 0.5000 Th
```

Summary:
As for the crystal system: tetragonal. For the total DFT energy (no corrections), the calculation gives -88.13 eV/cell. As for the energy relative to the elements: 0.337 eV/atom.

=====

No. 12
Below is GdZn2Ir after structural relaxation, with properties calculated at the GGA-PBE level.

```
GdZn2Ir
1.0
0.0000 3.2689 3.2689
3.2689 0.0000 3.2689
3.2689 3.2689 0.0000
Gd Zn Ir
1 2 1
direct
0.0000 0.0000 0.0000 Gd
0.2500 0.2500 0.2500 Zn
0.7500 0.7500 0.7500 Zn
0.5000 0.5000 0.5000 Ir
```

Summary:
As for the crystal system: cubic. For the total DFT energy (no corrections), the calculation gives -26.85 eV/cell. As for the energy relative to the elements: -0.339 eV/atom.

=====

No. 13
Below is Ca2Be2As after structural relaxation, with properties calculated at the GGA-PBE level.

```
Ca2Be2As
1.0
6.5982 0.0000 0.0000
0.0000 6.5982 0.0000
0.0000 0.0000 4.4621
Ca Be As
4 4 2
direct
0.1823 0.3177 0.0000 Ca
0.3177 0.8177 0.0000 Ca
0.6823 0.1823 0.0000 Ca
0.8177 0.6823 0.0000 Ca
0.1128 0.6128 0.5000 Be
0.3872 0.1128 0.5000 Be
0.6128 0.8872 0.5000 Be
0.8872 0.3872 0.5000 Be
0.0000 0.0000 0.5000 As
0.5000 0.5000 0.5000 As
```

Summary:
As for the crystal system: tetragonal. For the total DFT energy (no corrections), the calculation gives -32.88 eV/cell. As for the energy relative to the elements: -0.067 eV/atom.

=====

No. 14
Below is Tb2ErZn after structural relaxation, with properties calculated at the GGA-PBE level.

```
Tb2ErZn
1.0
3.5678 0.0000 0.0000
0.0000 3.5678 0.0000
0.0000 0.0000 8.5538
Tb Er Zn
2 1 1
direct
0.0000 0.0000 0.2094 Tb
0.0000 0.0000 0.7906 Tb
0.5000 0.5000 0.5000 Er
0.5000 0.5000 0.0000 Zn
```

Summary:
As for the crystal system: tetragonal. For the total DFT energy (no corrections), the calculation gives -15.73 eV/cell. As for the energy relative to the elements: -0.157 eV/atom.

=====

No. 15
Below is La5Er2Tm4 after structural relaxation, with properties calculated at the GGA-PBE level.

```
La5Er2Tm4
1.0
-1.7685 4.5897 11.8536
1.7685 -4.5897 11.8536
1.7685 4.5897 -11.8536
La Er Tm
5 2 4
direct
0.0000 0.0000 0.0000 La
0.0548 0.3535 0.7013 La
0.3478 0.6465 0.7013 La
0.6522 0.3535 0.2987 La
0.9452 0.6465 0.2987 La
0.2699 0.7699 0.5000 Er
0.7301 0.2301 0.5000 Er
0.3188 0.5000 0.8188 Tm
0.4040 0.9040 0.5000 Tm
0.5960 0.0960 0.5000 Tm
0.6812 0.5000 0.1812 Tm
```

Summary:
As for the crystal system: orthorhombic. For the total DFT energy (no corrections), the calculation gives -49.66 eV/cell. As for the energy relative to the elements: 0.181 eV/atom.

=====

No. 16
Below is HfBePO2 after structural relaxation, with properties calculated at the GGA-PBE level.

```
HfBePO2
1.0
3.6050 0.0000 0.0000
0.0000 3.6050 0.0000
0.0000 0.0000 4.3631
Hf Be P O
1 1 1 2
direct
0.0000 0.0000 0.0000 Hf
0.5000 0.5000 0.5000 Be
0.5000 0.5000 0.0000 P
0.0000 0.5000 0.5000 O
0.5000 0.0000 0.5000 O
```

Summary:
The value obtained for the energy relative to the elements, uncorrected is -4.978 eV per formula unit. As for the crystal system: tetragonal. For the total DFT energy (no corrections), the calculation gives -33.98 eV/cell.

=====

No. 17
Below is Tb5GeBi4 after structural relaxation, with properties calculated at the GGA-PBE level.

```
Tb5GeBi4
1.0
-4.9502 4.9502 3.1364
4.9502 -4.9502 3.1364
4.9502 4.9502 -3.1364
Tb Ge Bi
5 1 4
direct
0.0000 0.0000 0.0000 Tb
0.2175 0.4024 0.6199 Tb
0.4024 0.7825 0.1849 Tb
0.5976 0.2175 0.8151 Tb
0.7825 0.5976 0.3801 Tb
0.5000 0.5000 0.0000 Ge
0.0931 0.6959 0.7891 Bi
0.3041 0.0931 0.3972 Bi
0.6959 0.9069 0.6028 Bi
0.9069 0.3041 0.2109 Bi
```

Summary:
As for the crystal system: tetragonal. For the total DFT energy (no corrections), the calculation gives -51.59 eV/cell. As for the energy relative to the elements: -0.830 eV/atom.

=====

No. 18
Below is DyPa2Zn after structural relaxation, with properties calculated at the GGA-PBE level.

```
DyPa2Zn
1.0
1.5662 0.9043 11.4851
-1.5662 0.9043 11.4851
0.0000 -1.8085 11.4851
Dy Pa Zn
1 2 1
direct
0.0000 0.0000 0.0000 Dy
0.0921 0.0921 0.0921 Pa
0.9079 0.9079 0.9079 Pa
0.5000 0.5000 0.5000 Zn
```

Summary:
As for the crystal system: trigonal. For the total DFT energy (no corrections), the calculation gives -23.83 eV/cell. As for the energy relative to the elements: 0.259 eV/atom.

=====

No. 19
Below is TlRe2Se after structural relaxation, with properties calculated at the GGA-PBE level.

```
TlRe2Se
1.0
0.0000 3.2361 3.2361
3.2361 0.0000 3.2361
3.2361 3.2361 0.0000
Tl Re Se
1 2 1
direct
0.0000 0.0000 0.0000 Tl
0.2500 0.2500 0.2500 Re
0.7500 0.7500 0.7500 Re
0.5000 0.5000 0.5000 Se
```

Summary:
The value obtained for the energy relative to the elements, uncorrected is 4.792 eV per formula unit. As for the crystal system: cubic. For the total DFT energy (no corrections), the calculation gives -25.96 eV/cell.

=====

No. 20
Below is Tm2Sc2ZnGa4 after structural relaxation, with properties calculated at the GGA-PBE level.

```
Tm2Sc2ZnGa4
1.0
-3.3694 3.3694 4.3104
3.3694 -3.3694 4.3104
3.3694 3.3694 -4.3104
Tm Sc Zn Ga
2 2 1 4
direct
0.1931 0.1931 0.0000 Tm
0.8069 0.8069 0.0000 Tm
0.2500 0.7500 0.5000 Sc
0.7500 0.2500 0.5000 Sc
0.5000 0.5000 0.0000 Zn
0.2495 0.2495 0.4991 Ga
0.2495 0.7505 0.0000 Ga
0.7505 0.2495 0.0000 Ga
0.7505 0.7505 0.5009 Ga
```

Summary:
As for the crystal system: tetragonal. For the total DFT energy (no corrections), the calculation gives -36.66 eV/cell. As for the energy relative to the elements: -0.185 eV/atom.

=====

Listing total moment for the structures above in their given order: 3.67; 0.00; 0.00; 5.64; 2.27; 0.00; 0.00; 0.00; 0.00; 0.00; 0.00; 7.10; 0.00; 0.00; 0.00; 0.41; 0.00; 0.00; 0.00; 0.53 μB per formula unit.